! BaLa2HgRh | Alexandria | PBE | optimized geometry; values from VASP
&SYSTEM
  ibrav = 0, nat = 5, ntyp = 4
/
ATOMIC_SPECIES
Ba 137.33 Ba.upf
La 138.91 La.upf
Hg 200.59 Hg.upf
Rh 102.91 Rh.upf
ATOMIC_POSITIONS crystal
Ba 0.000 0.000 0.000
La 0.000 0.500 0.500
La 0.500 0.000 0.500
Hg 0.500 0.500 0.000
Rh 0.000 0.000 0.500
CELL_PARAMETERS angstrom
5.479 0.000 0.000
0.000 5.479 0.000
0.000 0.000 6.238
! Excess energy over the best structure of this formula in the dataset: 35 meV/atom
! V: 37.5 Å³/atom
! E: -4.18 eV/atom
! Magnetic moment: 0.001 μB per formula unit
! DOS at the Fermi energy: 6.3 states/eV/f.u.
! Crystal system: tetragonal